Ce3Ga9Pd2: relaxed, PBE.

Lattice parameters (Å, degrees): 4.3366 8.3009 8.3009 72.67 74.86 74.86
Atoms (fractional coordinates):
Pd 0.5000 0.2833 0.7167
Pd 0.5000 0.7167 0.2833
Ga 0.3340 0.2957 0.0362
Ga 0.1321 0.5922 0.1437
Ce 0.0000 0.0000 0.0000
Ga 0.6660 0.7043 0.9638
Ce 0.6839 0.3161 0.3161
Ga 0.8679 0.4078 0.8563
Ga 0.8679 0.8563 0.4078
Ga 0.0000 0.5000 0.5000
Ce 0.3161 0.6839 0.6839
Ga 0.3340 0.0362 0.2957
Ga 0.1321 0.1437 0.5922
Ga 0.6660 0.9638 0.7043

Results
Magnetic moment ... 2.0 μB per cell
Calculated formation energy ... -614 meV per atom
Electronic total energy ... -4.57 eV per atom

CeGa4Pd2: relaxed, PBE.

Lattice parameters (Å, degrees): 4.5150 7.5857 7.5857 90.00 90.00 90.00
Atoms (fractional coordinates):
Pd 0.5000 0.2796 0.2796
Ga 0.0000 0.6602 0.9091
Ce 0.5000 0.0000 0.0000
Pd 0.0000 0.2204 0.7796
Ga 0.5000 0.4091 0.8398
Ga 0.0000 0.3398 0.0909
Ga 0.0000 0.0909 0.3398
Pd 0.5000 0.7204 0.7204
Ce 0.0000 0.5000 0.5000
Ga 0.5000 0.1602 0.5909
Ga 0.5000 0.5909 0.1602
Pd 0.0000 0.7796 0.2204
Ga 0.5000 0.8398 0.4091
Ga 0.0000 0.9091 0.6602

Results
Magnetic moment ... 1.9 μB per cell
Calculated formation energy ... -544 meV per atom
Electronic total energy ... -4.60 eV per atom
Excess energy over the best structure of this formula in the dataset ... 92 kJ/mol of formula units

Ce3Ga6Pd5: relaxed, PBE.

Lattice parameters (Å, degrees): 4.3669 9.3159 12.9976 90.00 90.00 90.00
Atoms (fractional coordinates):
Ce 0.5000 0.7446 0.5000
Ga 0.5000 0.0203 0.3482
Pd 0.0000 0.8668 0.6563
Ce 0.0000 0.2554 0.0000
Ga 0.5000 0.4092 0.8217
Ga 0.0000 0.0392 0.5000
Ce 0.5000 0.7538 0.1979
Ga 0.0000 0.9797 0.1518
Ga 0.0000 0.5908 0.6783
Ga 0.0000 0.9797 0.8482
Ce 0.0000 0.2462 0.6979
Pd 0.0000 0.5349 0.8843
Ga 0.5000 0.0203 0.6518
Ga 0.0000 0.5908 0.3217
Pd 0.5000 0.4651 0.6157
Pd 0.5000 0.1332 0.1563
Pd 0.0000 0.8668 0.3437
Pd 0.5000 0.2073 0.5000
Ce 0.0000 0.2462 0.3021
Pd 0.0000 0.7927 0.0000
Ce 0.5000 0.7538 0.8021
Pd 0.5000 0.1332 0.8437
Pd 0.0000 0.5349 0.1157
Ga 0.5000 0.5764 0.0000
Ga 0.0000 0.4236 0.5000
Ga 0.5000 0.9608 0.0000
Pd 0.5000 0.4651 0.3843
Ga 0.5000 0.4092 0.1783

Results
Magnetic moment ... 3.0 μB per cell
Calculated formation energy ... -755 meV per atom
Electronic total energy ... -5.18 eV per atom

Ce5Ga2Pd2: relaxed, PBE.

Lattice parameters (Å, degrees): 8.3293 7.3260 8.3706 115.95 90.00 90.00
Atoms (fractional coordinates):
Ce 0.0000 0.0000 0.0000
Pd 0.8792 0.3694 0.0000
Ce 0.1810 0.1931 0.7274
Ce 0.8190 0.8069 0.2726
Ce 0.3190 0.6931 0.7274
Pd 0.6208 0.8694 0.0000
Ce 0.6810 0.0343 0.7274
Ga 0.5000 0.7093 0.4187
Ce 0.8190 0.5343 0.7274
Ce 0.1810 0.4657 0.2726
Ga 0.0000 0.7907 0.5813
Ce 0.3190 0.9657 0.2726
Pd 0.1208 0.6306 0.0000
Pd 0.3792 0.1306 0.0000
Ce 0.5000 0.5000 0.0000
Ga 0.0000 0.2093 0.4187
Ga 0.5000 0.2907 0.5813
Ce 0.6810 0.3069 0.2726

Results
Magnetic moment ... 8.6 μB per cell
Calculated formation energy ... -418 meV per atom
Electronic total energy ... -5.54 eV per atom

CeGaPd: relaxed, PBE.

Lattice parameters (Å, degrees): 3.2482 3.2482 6.0410 105.60 105.60 90.00
Atoms (fractional coordinates):
Ga 0.6926 0.6926 0.3852
Ce 0.9973 0.9973 0.9946
Pd 0.3101 0.3101 0.6202

Results
Magnetic moment ... 0.0 μB per cell
Calculated formation energy ... -613 meV per atom
Electronic total energy ... -5.33 eV per atom

Ce3Ga5Pd6: relaxed, PBE.

Lattice parameters (Å, degrees): 4.4059 9.2106 13.0115 90.00 90.00 90.00
Atoms (fractional coordinates):
Pd 0.0000 0.6340 0.3368
Pd 0.5000 0.3660 0.1632
Pd 0.0000 0.9594 0.1299
Pd 0.5000 0.5655 0.0000
Pd 0.5000 0.9210 0.0000
Ga 0.0000 0.7428 0.0000
Pd 0.0000 0.6340 0.6632
Ga 0.0000 0.9116 0.6680
Pd 0.5000 0.0406 0.6299
Ga 0.0000 0.5186 0.1334
Ce 0.0000 0.2309 0.0000
Ga 0.5000 0.0884 0.8320
Pd 0.0000 0.9594 0.8701
Ce 0.5000 0.7691 0.5000
Ga 0.0000 0.9116 0.3320
Ce 0.0000 0.2576 0.3003
Pd 0.0000 0.4345 0.5000
Ga 0.0000 0.5186 0.8666
Pd 0.5000 0.0406 0.3701
Ce 0.5000 0.7424 0.1997
Ga 0.5000 0.4814 0.3666
Ga 0.5000 0.2572 0.5000
Ce 0.5000 0.7424 0.8003
Ga 0.5000 0.0884 0.1680
Pd 0.5000 0.3660 0.8368
Pd 0.0000 0.0790 0.5000
Ce 0.0000 0.2576 0.6997
Ga 0.5000 0.4814 0.6334

Results
Magnetic moment ... 3.1 μB per cell
Calculated formation energy ... -766 meV per atom
Electronic total energy ... -5.34 eV per atom

Ce2Ga2Pd3: relaxed, PBE.

Lattice parameters (Å, degrees): 4.1047 7.2204 9.8887 90.00 101.98 90.00
Atoms (fractional coordinates):
Ga 0.6933 0.9442 0.3866
Ce 0.8493 0.7500 0.6986
Pd 0.2280 0.7500 0.4559
Ga 0.3067 0.4442 0.6134
Ce 0.1507 0.2500 0.3014
Pd 0.5661 0.0509 0.1323
Ga 0.6933 0.5558 0.3866
Ce 0.0622 0.7500 0.1244
Pd 0.7720 0.2500 0.5441
Pd 0.5661 0.4491 0.1323
Ga 0.3067 0.0558 0.6134
Pd 0.4339 0.9491 0.8677
Ce 0.9378 0.2500 0.8756
Pd 0.4339 0.5509 0.8677

Results
Magnetic moment ... 2.6 μB per cell
Calculated formation energy ... -751 meV per atom
Electronic total energy ... -5.54 eV per atom
Excess energy over the best structure of this formula in the dataset ... 0 kJ/mol of formula units

CeGa3Pd10: relaxed, PBE.

Lattice parameters (Å, degrees): 8.8169 8.8169 8.8169 60.00 60.00 60.00
Atoms (fractional coordinates):
Ga 0.7296 0.2704 0.2704
Pd 0.8646 0.3785 0.3785
Pd 0.3785 0.8646 0.3785
Ga 0.7296 0.7296 0.2704
Pd 0.3785 0.3785 0.3785
Ga 0.2704 0.2704 0.7296
Pd 0.3461 0.0000 0.0000
Pd 0.0000 0.3461 0.6539
Ga 0.2704 0.7296 0.7296
Pd 0.6215 0.1354 0.6215
Pd 0.0000 0.0000 0.3461
Pd 0.3785 0.3785 0.8646
Pd 0.3461 0.0000 0.6539
Pd 0.0000 0.3461 0.0000
Ga 0.2704 0.7296 0.2704
Pd 0.0000 0.0000 0.6539
Pd 0.6215 0.6215 0.1354
Pd 0.0000 0.6539 0.0000
Ce 0.2500 0.2500 0.2500
Pd 0.0000 0.6539 0.3461
Ce 0.7500 0.7500 0.7500
Pd 0.6539 0.0000 0.0000
Pd 0.3461 0.6539 0.0000
Pd 0.6215 0.6215 0.6215
Ga 0.7296 0.2704 0.7296
Pd 0.6539 0.3461 0.0000
Pd 0.6539 0.0000 0.3461
Pd 0.1354 0.6215 0.6215

Results
Magnetic moment ... 0.9 μB per cell
Calculated formation energy ... -527 meV per atom
Electronic total energy ... -5.31 eV per atom

Ce3Ga2Pd3: relaxed, PBE.

Lattice parameters (Å, degrees): 4.4260 5.9870 14.0682 90.00 90.00 111.69
Atoms (fractional coordinates):
Pd 0.6121 0.2241 0.0450
Pd 0.6121 0.2241 0.4550
Ce 0.9209 0.8417 0.3934
Pd 0.6561 0.3123 0.7500
Ga 0.2159 0.4318 0.0918
Ga 0.7841 0.5682 0.5918
Ga 0.2159 0.4318 0.4082
Pd 0.3879 0.7759 0.5450
Pd 0.3879 0.7759 0.9550
Ce 0.0791 0.1583 0.8934
Pd 0.3439 0.6877 0.2500
Ga 0.7841 0.5682 0.9082
Ce 0.9209 0.8417 0.1066
Ce 0.0791 0.1583 0.6066
Ce 0.6410 0.2819 0.2500
Ce 0.3590 0.7181 0.7500

Results
Magnetic moment ... 5.2 μB per cell
Calculated formation energy ... -720 meV per atom
Electronic total energy ... -5.65 eV per atom
Excess energy over the best structure of this formula in the dataset ... 0 kJ/mol of formula units